GaP3O | PBE | optimized geometry

abc: 4.1976 4.1976 4.1976
angles: 90.00 90.00 90.00
Last column: nearest neighbours and their distance in Å.
Space group Pm-3m (No. 221)
One atom of each set of equivalent atoms:
1 Ga 0.0000 0.0000 0.0000 [1 per cell]  12 P 2.97
2 P 0.0000 0.5000 0.5000 [3 per cell]  2 O 2.10
3 O 0.5000 0.5000 0.5000 [1 per cell]  6 P 2.10

Results
formation energy without anion corrections: 54.2 kJ/mol of atoms
calculated total energy: -4.281 eV per atom
total moment: 0.0000 μB/atom